Density functional theory data (PBE-GGA) for a relaxed structure of Pa4Te5P.

a b c (Å): 4.1194 8.4461 9.4131
angles (deg): 102.28 102.64 90.00
Fractional coordinates of all 10 atoms:
1 Te 0.1735 0.8127 0.3470
2 Te 0.1662 0.3440 0.3323
3 Te 0.5000 0.5000 0.0000
4 Te 0.8338 0.6560 0.6677
5 Te 0.8265 0.1873 0.6530
6 Pa 0.0029 0.7803 0.0059
7 Pa 0.6531 0.0751 0.3062
8 Pa 0.3469 0.9249 0.6938
9 Pa 0.9971 0.2197 0.9941
10 P 0.5000 0.0000 0.0000

VASP energy = -6.82 eV per atom
Space-group type = C2/m, No. 12

Density functional theory data (PBE-GGA) for a relaxed structure of Pa5Te5P2.

a b c (Å): 4.1549 7.3023 12.5802
angles (deg): 108.77 90.00 106.53
Fractional coordinates of all 12 atoms:
1 Pa 0.8851 0.7702 0.5904
2 Pa 0.6610 0.3219 0.7896
3 Pa 0.0000 0.0000 0.0000
4 Pa 0.3390 0.6781 0.2104
5 Pa 0.1149 0.2298 0.4096
6 Te 0.7434 0.4867 0.3386
7 Te 0.3286 0.6572 0.9498
8 Te 0.6714 0.3428 0.0502
9 Te 0.2566 0.5133 0.6614
10 Te 0.5000 0.0000 0.5000
11 P 0.0325 0.0650 0.7962
12 P 0.9675 0.9350 0.2038

VASP energy = -6.92 eV per atom
Space-group type = C2/m, No. 12